Entry 1:
{"formula": "Sm4SnTe3", "functional": "GGA-PBE", "state": "relaxed", "lattice": [[-1.1159, -5.0691, -3.5661], [5.1073, -2.8048, 2.3887], [-3.5111, -2.4689, 4.6081]], "species": ["Te", "Te", "Te", "Sn", "Sm", "Sm", "Sm", "Sm"], "frac_coords": [[0.0000, 0.5000, 0.5000], [0.5000, 0.0000, 0.5000], [0.5000, 0.5000, 0.0000], [0.0000, 0.0000, 0.0000], [0.5000, 0.0000, 0.0000], [0.0000, 0.5000, 0.0000], [0.0000, 0.0000, 0.5000], [0.5000, 0.5000, 0.5000]], "n_ef_per_ev_atom": 0.50, "sg": "No. 221", "raw_formation_energy_ev_per_atom": -1.285, "final_energy_ev_per_cell": -42.59}

Entry 2:
{"formula": "Sm10Sn3Te3", "functional": "GGA-PBE", "state": "relaxed", "lattice": [[6.4442, 0.0000, 0.0000], [0.0000, 7.9971, -4.6172], [0.0000, 0.0000, 9.2343]], "species": ["Sm", "Sm", "Sm", "Sm", "Sm", "Sm", "Sm", "Sm", "Sm", "Sm", "Sn", "Sn", "Sn", "Te", "Te", "Te"], "frac_coords": [[0.2513, 0.6667, 0.3333], [0.2513, 0.3333, 0.6667], [0.7487, 0.3333, 0.6667], [0.7487, 0.6667, 0.3333], [0.5000, 0.0000, 0.7534], [0.5000, 0.7534, 0.0000], [0.5000, 0.2466, 0.2466], [0.0000, 0.0000, 0.2482], [0.0000, 0.2482, 0.0000], [0.0000, 0.7518, 0.7518], [0.5000, 0.0000, 0.3895], [0.5000, 0.3895, 0.0000], [0.5000, 0.6105, 0.6105], [0.0000, 0.0000, 0.6148], [0.0000, 0.6148, 0.0000], [0.0000, 0.3852, 0.3852]], "n_ef_per_ev_atom": 1.02, "sg": "No. 189", "raw_formation_energy_ev_per_atom": -0.891, "final_energy_ev_per_cell": -82.88}